[1]
Compound: Te2RhI
Source: Alexandria
Functional: PBE-GGA
Structure: relaxed

Structure (CIF):
```
data_Te2RhI
_chemical_formula_sum 'Te4 Rh2 I2'
_cell_length_a 6.377
_cell_length_b 6.620
_cell_length_c 6.620
_cell_angle_alpha 61.99
_cell_angle_beta 88.97
_cell_angle_gamma 88.79
_space_group_name_H-M_alt 'P 1'
_space_group_IT_number 1
_space_group_name_Hall 'P 1'
loop_
_atom_site_label
_atom_site_type_symbol
_atom_site_fract_x
_atom_site_fract_y
_atom_site_fract_z
Te1 Te 0.000 0.000 0.000
Te2 Te 0.001 0.303 0.303
Te3 Te 0.151 0.672 0.673
Te4 Te 0.681 0.826 0.824
Rh1 Rh 0.839 0.416 0.912
Rh2 Rh 0.839 0.913 0.415
I1 I 0.482 0.169 0.166
I2 I 0.642 0.503 0.501
```

Values from the calculation:
Magnetic moment   0.00 μB per atom
Formation energy from raw total energies   -0.21 eV per atom


[2]
Compound: LiCa2Zn
Source: Alexandria
Functional: PBE-GGA
Structure: relaxed

Structure (CIF):
```
data_LiCa2Zn
_chemical_formula_sum 'Li1 Ca2 Zn1'
_cell_length_a 4.118
_cell_length_b 4.710
_cell_length_c 6.217
_cell_angle_alpha 90.00
_cell_angle_beta 109.26
_cell_angle_gamma 90.00
_space_group_name_H-M_alt 'P 1 m 1'
_space_group_IT_number 6
_space_group_name_Hall 'P -2y'
loop_
_atom_site_label
_atom_site_type_symbol
_atom_site_fract_x
_atom_site_fract_y
_atom_site_fract_z
Li1 Li 0.000 0.000 0.000
Ca1 Ca 0.413 0.500 0.827
Ca2 Ca 0.708 0.000 0.416
Zn1 Zn 0.128 0.500 0.257
```

Values from the calculation:
Magnetic moment   0.00 μB per atom
DFT total energy   -1.903 eV/atom


[3]
Compound: LiCeAgHg
Source: Alexandria
Functional: PBE-GGA
Structure: relaxed

Structure (CIF):
```
data_LiCeAgHg
_chemical_formula_sum 'Li4 Ce4 Ag4 Hg4'
_cell_length_a 7.207
_cell_length_b 7.207
_cell_length_c 7.207
_cell_angle_alpha 90.00
_cell_angle_beta 90.00
_cell_angle_gamma 90.00
_space_group_name_H-M_alt 'F -4 3 m'
_space_group_IT_number 216
_space_group_name_Hall 'F -4 2 3'
loop_
_atom_site_label
_atom_site_type_symbol
_atom_site_fract_x
_atom_site_fract_y
_atom_site_fract_z
Li1 Li 0.000 0.000 0.000
Ce1 Ce 0.000 0.000 0.500
Ag1 Ag 0.250 0.250 0.250
Hg1 Hg 0.250 0.250 0.750
```

Values from the calculation:
Magnetic moment   0.25 μB per atom
DFT total energy   -2.953 eV/atom


[4]
Compound: Pr2Al3HgPt4
Source: Alexandria
Functional: PBE-GGA
Structure: relaxed

Structure (CIF):
```
data_Pr2Al3HgPt4
_chemical_formula_sum 'Pr2 Al3 Hg1 Pt4'
_cell_length_a 4.329
_cell_length_b 4.329
_cell_length_c 10.817
_cell_angle_alpha 90.00
_cell_angle_beta 90.00
_cell_angle_gamma 90.00
_space_group_name_H-M_alt 'P -4 m 2'
_space_group_IT_number 115
_space_group_name_Hall 'P -4 -2'
loop_
_atom_site_label
_atom_site_type_symbol
_atom_site_fract_x
_atom_site_fract_y
_atom_site_fract_z
Pr1 Pr 0.000 0.500 0.244
Al1 Al 0.000 0.500 0.882
Al2 Al 0.500 0.500 0.500
Hg1 Hg 0.000 0.000 0.500
Pt1 Pt 0.000 0.000 0.000
Pt2 Pt 0.000 0.500 0.656
Pt3 Pt 0.500 0.500 0.000
```

Values from the calculation:
Magnetic moment   0.00 μB per atom
DFT total energy   -5.463 eV/atom


[5]
Compound: Tb2HgAs
Source: Alexandria
Functional: PBE-GGA
Structure: relaxed

Structure (CIF):
```
data_Tb2HgAs
_chemical_formula_sum 'Tb6 Hg3 As3'
_cell_length_a 4.0208
_cell_length_b 4.0208
_cell_length_c 23.2192
_cell_angle_alpha 90.00
_cell_angle_beta 90.00
_cell_angle_gamma 120.00
_space_group_name_H-M_alt 'R 3 m'
_space_group_IT_number 160
_space_group_name_Hall 'R 3 -2"'
loop_
_atom_site_label
_atom_site_type_symbol
_atom_site_fract_x
_atom_site_fract_y
_atom_site_fract_z
Tb1 Tb 0.0000 0.0000 0.0000
Tb2 Tb 0.0000 0.0000 0.1892
Hg1 Hg 0.0000 0.0000 0.7621
As1 As 0.0000 0.0000 0.5938
```

Values from the calculation:
Magnetic moment   0.00 μB per atom
Relative energy among the computed polymorphs   0.044 eV per atom


[6]
Compound: MnRe2Mo
Source: Alexandria
Functional: PBE-GGA
Structure: relaxed

Structure (CIF):
```
data_MnRe2Mo
_chemical_formula_sum 'Mn1 Re2 Mo1'
_cell_length_a 2.662
_cell_length_b 4.355
_cell_length_c 5.159
_cell_angle_alpha 90.00
_cell_angle_beta 100.68
_cell_angle_gamma 90.00
_space_group_name_H-M_alt 'P 1 m 1'
_space_group_IT_number 6
_space_group_name_Hall 'P -2y'
loop_
_atom_site_label
_atom_site_type_symbol
_atom_site_fract_x
_atom_site_fract_y
_atom_site_fract_z
Mn1 Mn 0.000 0.000 0.000
Re1 Re 0.256 0.500 0.754
Re2 Re 0.511 0.000 0.504
Mo1 Mo 0.749 0.500 0.242
```

Values from the calculation:
Magnetic moment   0.64 μB per atom
Relative energy among the computed polymorphs   0.014 eV per atom


[7]
Compound: PrNd2AgN
Source: Alexandria
Functional: PBE-GGA
Structure: relaxed

Structure (CIF):
```
data_PrNd2AgN
_chemical_formula_sum 'Pr1 Nd2 Ag1 N1'
_cell_length_a 5.000
_cell_length_b 5.000
_cell_length_c 5.073
_cell_angle_alpha 90.00
_cell_angle_beta 90.00
_cell_angle_gamma 90.00
_space_group_name_H-M_alt 'P 4/m m m'
_space_group_IT_number 123
_space_group_name_Hall '-P 4 2'
loop_
_atom_site_label
_atom_site_type_symbol
_atom_site_fract_x
_atom_site_fract_y
_atom_site_fract_z
Pr1 Pr 0.000 0.000 0.000
Nd1 Nd 0.000 0.500 0.500
Ag1 Ag 0.500 0.500 0.000
N1 N 0.000 0.000 0.500
```

Values from the calculation:
Magnetic moment   0.00 μB per atom
Formation energy from raw total energies   -0.57 eV per atom


[8]
Compound: Tl3HgPt
Source: Alexandria
Functional: PBE-GGA
Structure: relaxed

Structure (CIF):
```
data_Tl3HgPt
_chemical_formula_sum 'Tl3 Hg1 Pt1'
_cell_length_a 5.393
_cell_length_b 5.393
_cell_length_c 5.393
_cell_angle_alpha 90.00
_cell_angle_beta 90.00
_cell_angle_gamma 90.00
_space_group_name_H-M_alt 'P m -3 m'
_space_group_IT_number 221
_space_group_name_Hall '-P 4 2 3'
loop_
_atom_site_label
_atom_site_type_symbol
_atom_site_fract_x
_atom_site_fract_y
_atom_site_fract_z
Tl1 Tl 0.000 0.000 0.500
Hg1 Hg 0.500 0.500 0.500
Pt1 Pt 0.000 0.000 0.000
```

Values from the calculation:
Magnetic moment   0.00 μB per atom
Relative energy among the computed polymorphs   0.000 eV per atom


- The highest magnetic moment belongs to which entry?
  MnRe2Mo


- What is the magnetic moment in the eighth record?
  0.00 μB per atom